No. 1
Entry from Alexandria: Na3SnPd after structural relaxation (PBE-GGA).

Unit cell a=7.194 b=7.194 c=7.559 alpha=120.50 beta=120.50 gamma=77.98
Fractional coordinates of all 10 atoms:
Na1 0.053 0.053 0.336
Na2 0.094 0.477 0.239
Na3 0.477 0.094 0.239
Na4 0.523 0.906 0.761
Na5 0.906 0.523 0.761
Na6 0.947 0.947 0.664
Sn1 0.431 0.431 0.726
Sn2 0.569 0.569 0.274
Pd1 0.279 0.279 0.884
Pd2 0.721 0.721 0.116

Values from the calculation:
total magnetization: 0.00 μB per formula unit
distance to the lowest polymorph of the same formula: 0 meV per atom
symmetry: C2/m (12)

---

No. 2
Entry from Alexandria: Na2Sn5Pd12 after structural relaxation (PBE-GGA).

Unit cell a=8.051 b=8.051 c=9.259 alpha=105.75 beta=105.75 gamma=40.56
Fractional coordinates of all 19 atoms:
Na1 0.242 0.758 0.000
Na2 0.758 0.242 0.000
Sn1 0.000 0.000 0.500
Sn2 0.315 0.315 0.646
Sn3 0.353 0.353 0.143
Sn4 0.647 0.647 0.857
Sn5 0.685 0.685 0.354
Pd1 0.050 0.555 0.889
Pd2 0.099 0.587 0.395
Pd3 0.136 0.136 0.333
Pd4 0.413 0.901 0.605
Pd5 0.445 0.950 0.111
Pd6 0.488 0.488 0.643
Pd7 0.512 0.512 0.357
Pd8 0.555 0.050 0.889
Pd9 0.587 0.099 0.395
Pd10 0.864 0.864 0.667
Pd11 0.901 0.413 0.605
Pd12 0.950 0.445 0.111

Values from the calculation:
total magnetization: 0.00 μB per formula unit
symmetry: C2/m (12)

---

No. 3
Entry from Alexandria: NaSnPd after structural relaxation (PBE-GGA).

Unit cell a=4.285 b=5.663 c=6.197 alpha=89.85 beta=89.84 gamma=90.00
Fractional coordinates of all 6 atoms:
Na1 0.000 0.000 0.000
Na2 0.500 0.500 0.236
Sn1 0.498 0.498 0.745
Sn2 0.499 0.999 0.456
Pd1 0.999 0.254 0.563
Pd2 0.999 0.743 0.564

Values from the calculation:
total magnetization: 0.00 μB per formula unit
symmetry: P1 (1)

---

No. 4
Entry from Alexandria: Na2Sn5Pd3 after structural relaxation (PBE-GGA).

Unit cell a=13.478 b=13.478 c=7.453 alpha=90.00 beta=90.00 gamma=160.75
Fractional coordinates of all 20 atoms:
Na1 0.023 0.977 0.500
Na2 0.326 0.674 0.562
Na3 0.674 0.326 0.062
Na4 0.977 0.023 0.000
Sn1 0.097 0.903 0.881
Sn2 0.206 0.794 0.354
Sn3 0.207 0.793 0.775
Sn4 0.380 0.620 0.002
Sn5 0.451 0.549 0.661
Sn6 0.549 0.451 0.161
Sn7 0.620 0.380 0.502
Sn8 0.793 0.207 0.275
Sn9 0.794 0.206 0.854
Sn10 0.903 0.097 0.381
Pd1 0.107 0.893 0.253
Pd2 0.276 0.724 0.067
Pd3 0.451 0.549 0.284
Pd4 0.549 0.451 0.784
Pd5 0.724 0.276 0.567
Pd6 0.893 0.107 0.753

Values from the calculation:
total magnetization: 0.00 μB per formula unit
distance to the lowest polymorph of the same formula: 0 meV per atom
symmetry: Cmc2_1 (36)

---

No. 5
Entry from Alexandria: Na2SnPd after structural relaxation (PBE-GGA).

Unit cell a=4.741 b=4.741 c=9.212 alpha=104.78 beta=104.78 gamma=90.18
Fractional coordinates of all 8 atoms:
Na1 0.000 0.500 0.000
Na2 0.142 0.142 0.283
Na3 0.500 0.000 0.000
Na4 0.858 0.858 0.717
Sn1 0.331 0.331 0.665
Sn2 0.669 0.669 0.335
Pd1 0.251 0.749 0.500
Pd2 0.749 0.251 0.500

Values from the calculation:
total magnetization: 0.00 μB per formula unit
symmetry: C2/m (12)

---

No. 6
Entry from Alexandria: NaSn5Pd6 after structural relaxation (PBE-GGA).

Unit cell a=7.072 b=7.072 c=7.153 alpha=93.82 beta=93.82 gamma=137.55
Fractional coordinates of all 12 atoms:
Na1 0.000 0.000 0.000
Sn1 0.000 0.000 0.500
Sn2 0.323 0.677 0.000
Sn3 0.359 0.641 0.500
Sn4 0.641 0.359 0.500
Sn5 0.677 0.323 0.000
Pd1 0.114 0.742 0.294
Pd2 0.258 0.886 0.706
Pd3 0.429 0.429 0.785
Pd4 0.571 0.571 0.215
Pd5 0.742 0.114 0.294
Pd6 0.886 0.258 0.706

Values from the calculation:
total magnetization: 0.00 μB per formula unit
symmetry: C2/m (12)

---

No. 7
Entry from Alexandria: NaSn2Pd after structural relaxation (PBE-GGA).

Unit cell a=3.304 b=3.304 c=8.345 alpha=90.00 beta=90.00 gamma=90.00
Fractional coordinates of all 4 atoms:
Na1 0.000 0.000 0.000
Sn1 0.500 0.500 0.296
Sn2 0.500 0.500 0.704
Pd1 0.000 0.000 0.500

Values from the calculation:
total magnetization: 0.00 μB per formula unit
symmetry: P4/mmm (123)

---

No. 8
Entry from Alexandria: Na3SnPd after structural relaxation (PBE-GGA).

Unit cell a=5.336 b=5.336 c=5.336 alpha=90.00 beta=90.00 gamma=90.00
Fractional coordinates of all 5 atoms:
Na1 0.000 0.000 0.500
Na2 0.000 0.500 0.000
Na3 0.500 0.000 0.000
Sn1 0.500 0.500 0.500
Pd1 0.000 0.000 0.000

Values from the calculation:
total magnetization: 0.00 μB per formula unit
distance to the lowest polymorph of the same formula: 371 meV per atom
symmetry: Pm-3m (221)

---

No. 9
Entry from Alexandria: Na3Sn5Pd6 after structural relaxation (PBE-GGA).

Unit cell a=4.528 b=13.924 c=9.175 alpha=90.00 beta=90.00 gamma=90.00
Fractional coordinates of all 28 atoms:
Na1 0.250 0.070 0.247
Na2 0.250 0.430 0.247
Na3 0.250 0.750 0.322
Na4 0.750 0.250 0.678
Na5 0.750 0.570 0.753
Na6 0.750 0.930 0.753
Sn1 0.250 0.095 0.634
Sn2 0.250 0.405 0.634
Sn3 0.250 0.640 0.012
Sn4 0.250 0.750 0.700
Sn5 0.250 0.860 0.012
Sn6 0.750 0.140 0.988
Sn7 0.750 0.250 0.300
Sn8 0.750 0.360 0.988
Sn9 0.750 0.595 0.366
Sn10 0.750 0.905 0.366
Pd1 0.250 0.044 0.914
Pd2 0.250 0.250 0.459
Pd3 0.250 0.250 0.887
Pd4 0.250 0.456 0.914
Pd5 0.250 0.586 0.530
Pd6 0.250 0.914 0.530
Pd7 0.750 0.086 0.470
Pd8 0.750 0.414 0.470
Pd9 0.750 0.544 0.086
Pd10 0.750 0.750 0.113
Pd11 0.750 0.750 0.541
Pd12 0.750 0.956 0.086

Values from the calculation:
total magnetization: 0.00 μB per formula unit
symmetry: Pmmn (59)

---

No. 10
Entry from Alexandria: NaSn2Pd after structural relaxation (PBE-GGA).

Unit cell a=10.281 b=10.281 c=10.281 alpha=155.09 beta=155.09 gamma=35.51
Fractional coordinates of all 8 atoms:
Na1 0.000 0.000 0.000
Na2 0.750 0.250 0.500
Sn1 0.152 0.625 0.027
Sn2 0.375 0.402 0.527
Sn3 0.598 0.125 0.973
Sn4 0.875 0.848 0.473
Pd1 0.250 0.750 0.500
Pd2 0.500 0.500 0.000

Values from the calculation:
total magnetization: 0.00 μB per formula unit
symmetry: I-42d (122)

---

No. 11
Entry from Alexandria: NaSn8Pd2 after structural relaxation (PBE-GGA).

Unit cell a=7.321 b=7.321 c=5.581 alpha=94.67 beta=94.67 gamma=106.50
Fractional coordinates of all 11 atoms:
Na1 0.000 0.000 0.000
Sn1 0.075 0.345 0.646
Sn2 0.275 0.725 0.000
Sn3 0.345 0.075 0.646
Sn4 0.360 0.360 0.227
Sn5 0.640 0.640 0.773
Sn6 0.655 0.925 0.354
Sn7 0.725 0.275 0.000
Sn8 0.925 0.655 0.354
Pd1 0.315 0.685 0.500
Pd2 0.685 0.315 0.500

Values from the calculation:
total magnetization: 0.00 μB per formula unit
distance to the lowest polymorph of the same formula: 0 meV per atom
symmetry: C2/m (12)

---

No. 12
Entry from Alexandria: NaSnPd3 after structural relaxation (PBE-GGA).

Unit cell a=6.342 b=6.342 c=6.342 alpha=66.30 beta=66.30 gamma=66.30
Fractional coordinates of all 10 atoms:
Na1 0.000 0.000 0.000
Na2 0.500 0.500 0.500
Sn1 0.199 0.199 0.199
Sn2 0.699 0.699 0.699
Pd1 0.058 0.876 0.583
Pd2 0.083 0.376 0.558
Pd3 0.376 0.558 0.083
Pd4 0.558 0.083 0.376
Pd5 0.583 0.058 0.876
Pd6 0.876 0.583 0.058

Values from the calculation:
total magnetization: 0.00 μB per formula unit
distance to the lowest polymorph of the same formula: 226 meV per atom
symmetry: R3c (161)

---

No. 13
Entry from Alexandria: NaSn8Pd2 after structural relaxation (PBE-GGA).

Unit cell a=6.563 b=6.563 c=6.699 alpha=90.00 beta=90.00 gamma=90.00
Fractional coordinates of all 11 atoms:
Na1 0.000 0.000 0.000
Sn1 0.266 0.266 0.253
Sn2 0.266 0.266 0.747
Sn3 0.266 0.734 0.253
Sn4 0.266 0.734 0.747
Sn5 0.734 0.266 0.253
Sn6 0.734 0.266 0.747
Sn7 0.734 0.734 0.253
Sn8 0.734 0.734 0.747
Pd1 0.000 0.500 0.500
Pd2 0.500 0.000 0.500

Values from the calculation:
total magnetization: 0.00 μB per formula unit
distance to the lowest polymorph of the same formula: 51 meV per atom
symmetry: P4/mmm (123)

---

No. 14
Entry from Alexandria: NaSn2Pd after structural relaxation (PBE-GGA).

Unit cell a=4.437 b=4.437 c=4.371 alpha=90.00 beta=90.00 gamma=90.00
Fractional coordinates of all 4 atoms:
Na1 0.000 0.000 0.000
Sn1 0.000 0.500 0.500
Sn2 0.500 0.000 0.500
Pd1 0.500 0.500 0.000

Values from the calculation:
total magnetization: 0.00 μB per formula unit
symmetry: P4/mmm (123)

---

No. 15
Entry from Alexandria: NaSn2Pd2 after structural relaxation (PBE-GGA).

Unit cell a=8.124 b=8.124 c=3.108 alpha=90.00 beta=90.00 gamma=90.00
Fractional coordinates of all 10 atoms:
Na1 0.000 0.000 0.000
Na2 0.500 0.500 0.000
Sn1 0.140 0.360 0.000
Sn2 0.360 0.860 0.000
Sn3 0.640 0.140 0.000
Sn4 0.860 0.640 0.000
Pd1 0.157 0.657 0.500
Pd2 0.343 0.157 0.500
Pd3 0.657 0.843 0.500
Pd4 0.843 0.343 0.500

Values from the calculation:
total magnetization: 0.00 μB per formula unit
distance to the lowest polymorph of the same formula: 35 meV per atom
symmetry: P4/mbm (127)

---

No. 16
Entry from Alexandria: Na3SnPd4 after structural relaxation (PBE-GGA).

Unit cell a=6.542 b=6.542 c=6.542 alpha=130.47 beta=92.16 gamma=108.25
Fractional coordinates of all 8 atoms:
Na1 0.000 0.000 0.000
Na2 0.391 0.649 0.741
Na3 0.908 0.649 0.259
Sn1 0.677 0.177 0.500
Pd1 0.044 0.279 0.765
Pd2 0.387 0.136 0.749
Pd3 0.387 0.638 0.251
Pd4 0.514 0.279 0.235

Values from the calculation:
total magnetization: 0.00 μB per formula unit
symmetry: Imm2 (44)

---

No. 17
Entry from Alexandria: NaSn4Pd6 after structural relaxation (PBE-GGA).

Unit cell a=7.832 b=7.832 c=4.055 alpha=90.00 beta=90.00 gamma=120.00
Fractional coordinates of all 11 atoms:
Na1 0.000 0.000 0.000
Sn1 0.333 0.667 0.000
Sn2 0.374 0.187 0.500
Sn3 0.813 0.187 0.500
Sn4 0.813 0.626 0.500
Pd1 0.203 0.405 0.500
Pd2 0.203 0.797 0.500
Pd3 0.536 0.072 0.000
Pd4 0.536 0.464 0.000
Pd5 0.595 0.797 0.500
Pd6 0.928 0.464 0.000

Values from the calculation:
total magnetization: 0.00 μB per formula unit
distance to the lowest polymorph of the same formula: 0 meV per atom
symmetry: P-6m2 (187)

---

No. 18
Entry from Alexandria: Na2SnPd after structural relaxation (PBE-GGA).

Unit cell a=3.459 b=9.115 c=9.115 alpha=21.73 beta=90.00 gamma=90.00
Fractional coordinates of all 4 atoms:
Na1 0.000 0.000 0.000
Na2 0.500 0.331 0.331
Sn1 0.000 0.181 0.181
Pd1 0.500 0.610 0.610

Values from the calculation:
total magnetization: 0.00 μB per formula unit
symmetry: Amm2 (38)

---

No. 19
Entry from Alexandria: NaSn4Pd6 after structural relaxation (PBE-GGA).

Unit cell a=6.943 b=6.943 c=6.943 alpha=120.50 beta=120.50 gamma=89.14
Fractional coordinates of all 11 atoms:
Na1 0.000 0.000 0.000
Sn1 0.115 0.550 0.000
Sn2 0.450 0.450 0.566
Sn3 0.550 0.115 0.000
Sn4 0.885 0.885 0.434
Pd1 0.000 0.500 0.500
Pd2 0.240 0.240 0.687
Pd3 0.447 0.760 0.000
Pd4 0.500 0.000 0.500
Pd5 0.553 0.553 0.313
Pd6 0.760 0.447 0.000

Values from the calculation:
total magnetization: 0.00 μB per formula unit
distance to the lowest polymorph of the same formula: 152 meV per atom
symmetry: I-42m (121)

---

No. 20
Entry from Alexandria: NaSn2Pd4 after structural relaxation (PBE-GGA).

Unit cell a=7.966 b=7.966 c=4.324 alpha=90.00 beta=90.00 gamma=90.00
Fractional coordinates of all 14 atoms:
Na1 0.000 0.000 0.000
Na2 0.500 0.500 0.500
Sn1 0.221 0.221 0.500
Sn2 0.279 0.721 0.000
Sn3 0.721 0.279 0.000
Sn4 0.779 0.779 0.500
Pd1 0.092 0.651 0.500
Pd2 0.151 0.408 0.000
Pd3 0.349 0.908 0.500
Pd4 0.408 0.151 0.000
Pd5 0.592 0.849 0.000
Pd6 0.651 0.092 0.500
Pd7 0.849 0.592 0.000
Pd8 0.908 0.349 0.500

Values from the calculation:
total magnetization: 0.00 μB per formula unit
distance to the lowest polymorph of the same formula: 0 meV per atom
symmetry: P4_2/mnm (136)

---

No. 21
Entry from Alexandria: Na4SnPd after structural relaxation (PBE-GGA).

Unit cell a=5.573 b=5.573 c=11.858 alpha=96.33 beta=96.33 gamma=121.17
Fractional coordinates of all 12 atoms:
Na1 0.026 0.689 0.719
Na2 0.165 0.835 0.000
Na3 0.291 0.291 0.582
Na4 0.311 0.974 0.281
Na5 0.689 0.026 0.719
Na6 0.709 0.709 0.418
Na7 0.835 0.165 0.000
Na8 0.974 0.311 0.281
Sn1 0.436 0.436 0.872
Sn2 0.564 0.564 0.128
Pd1 0.250 0.750 0.500
Pd2 0.750 0.250 0.500

Values from the calculation:
total magnetization: 0.00 μB per formula unit
symmetry: C2/m (12)

---

No. 22
Entry from Alexandria: Na3Sn4Pd2 after structural relaxation (PBE-GGA).

Unit cell a=6.381 b=6.381 c=9.120 alpha=105.45 beta=105.45 gamma=41.55
Fractional coordinates of all 9 atoms:
Na1 0.000 0.000 0.000
Na2 0.374 0.374 0.609
Na3 0.626 0.626 0.391
Sn1 0.087 0.087 0.646
Sn2 0.309 0.309 0.927
Sn3 0.691 0.691 0.073
Sn4 0.913 0.913 0.354
Pd1 0.311 0.311 0.228
Pd2 0.689 0.689 0.772

Values from the calculation:
total magnetization: 0.00 μB per formula unit
symmetry: C2/m (12)

---

ΔE_f? In order: -0.142; -0.360; -0.359; -0.403; -0.287; -0.405; -0.372; 0.229; -0.430; -0.069; -0.170; -0.114; -0.119; -0.183; -0.388; -0.129; -0.496; -0.219; -0.344; -0.432; -0.149; -0.280 eV per atom.